Crystalline POs2Cl at its relaxed geometry. Source: the Alexandria database, functional PBEsol.

Unit cell a=5.9655 b=5.9655 c=5.9655 alpha=90.00 beta=90.00 gamma=90.00
Space group Fm-3m (No. 225)
One atom of each set of equivalent atoms:
P: 0.0000 0.0000 0.0000 x4
Os: 0.2500 0.2500 0.2500 x8
Cl: 0.0000 0.0000 0.5000 x4

Results
The calculation puts the energy at -29.01 eV per formula unit. Its energy relative to the elements, uncorrected is 78 kJ/mol of atoms. For the volume, the calculation gives 13.27 Å³ per atom. As for the excess energy over the best structure of this formula in the dataset: 586 meV per atom.

Crystalline CaAlCu at its relaxed geometry. Source: the Alexandria database, functional PBEsol.

Unit cell a=6.6642 b=6.6642 c=6.6642 alpha=90.00 beta=90.00 gamma=90.00
Space group F-43m (No. 216)
One atom of each set of equivalent atoms:
Ca: 0.0000 0.0000 0.0000 x4
Al: 0.2500 0.2500 0.2500 x4
Cu: 0.2500 0.2500 0.7500 x4

Results
The calculation puts the energy at -8.53 eV per formula unit. Its energy of formation from the pure elements is 15.57 kcal/mol of atoms. For the volume, the calculation gives 24.66 Å³ per atom.

Crystalline GaAuS2Cl at its relaxed geometry. Source: the Alexandria database, functional PBEsol.

Unit cell a=4.7745 b=4.7745 c=4.9691 alpha=90.00 beta=90.00 gamma=90.00
Space group P4/mmm (No. 123)
One atom of each set of equivalent atoms:
Ga: 0.0000 0.0000 0.0000 x1
Au: 0.5000 0.5000 0.5000 x1
S: 0.0000 0.5000 0.5000 x2
Cl: 0.5000 0.5000 0.0000 x1

Results
The calculation puts the energy at -16.53 eV per formula unit. Its energy relative to the elements, uncorrected is 29 kJ/mol of atoms. For the volume, the calculation gives 22.66 Å³ per atom.

Crystalline BIrN2O at its relaxed geometry. Source: the Alexandria database, functional PBEsol.

Unit cell a=3.7363 b=3.7363 c=4.0456 alpha=90.00 beta=90.00 gamma=90.00
Space group P4/mmm (No. 123)
One atom of each set of equivalent atoms:
B: 0.0000 0.0000 0.0000 x1
Ir: 0.5000 0.5000 0.5000 x1
N: 0.0000 0.5000 0.5000 x2
O: 0.5000 0.5000 0.0000 x1

Results
The calculation puts the energy at -31.39 eV per formula unit. Its energy relative to the elements, uncorrected is 150 kJ/mol of atoms. For the volume, the calculation gives 11.29 Å³ per atom.

Crystalline Ca2YTcN at its relaxed geometry. Source: the Alexandria database, functional PBEsol.

Unit cell a=6.1202 b=6.1202 c=4.0161 alpha=90.00 beta=90.00 gamma=90.00
Space group P4/mmm (No. 123)
One atom of each set of equivalent atoms:
Ca: 0.0000 0.5000 0.0000 x2
Y: 0.0000 0.0000 0.0000 x1
Tc: 0.5000 0.5000 0.5000 x1
N: 0.0000 0.0000 0.5000 x1

Results
The calculation puts the energy at -24.19 eV per formula unit. Its energy relative to the elements, uncorrected is 129 kJ/mol of atoms. For the volume, the calculation gives 30.09 Å³ per atom.

Crystalline LaTaAl at its relaxed geometry. Source: the Alexandria database, functional PBEsol.

Unit cell a=6.5757 b=6.5757 c=6.5757 alpha=90.00 beta=90.00 gamma=90.00
Space group F-43m (No. 216)
One atom of each set of equivalent atoms:
La: 0.0000 0.0000 0.0000 x4
Ta: 0.2500 0.2500 0.2500 x4
Al: 0.0000 0.0000 0.5000 x4

Results
The calculation puts the energy at -19.72 eV per formula unit. Its energy of formation from the pure elements is 17.45 kcal/mol of atoms. For the volume, the calculation gives 23.69 Å³ per atom. As for the excess energy over the best structure of this formula in the dataset: 645 meV per atom.

Crystalline PdN2ClF at its relaxed geometry. Source: the Alexandria database, functional PBEsol.

Unit cell a=3.4696 b=3.4696 c=5.0051 alpha=90.00 beta=90.00 gamma=90.00
Space group P4/mmm (No. 123)
One atom of each set of equivalent atoms:
Pd: 0.0000 0.0000 0.0000 x1
N: 0.0000 0.5000 0.5000 x2
Cl: 0.5000 0.5000 0.5000 x1
F: 0.5000 0.5000 0.0000 x1

Results
The calculation puts the energy at -17.69 eV per formula unit. Its energy relative to the elements, uncorrected is 179 kJ/mol of atoms. For the volume, the calculation gives 12.05 Å³ per atom.

Crystalline Ta2ZnAu at its relaxed geometry. Source: the Alexandria database, functional PBEsol.

Unit cell a=2.8143 b=2.8143 c=8.2835 alpha=90.00 beta=90.00 gamma=90.00
Space group P4mm (No. 99)
One atom of each set of equivalent atoms:
Ta: 0.0000 0.0000 0.0000 x1
Ta: 0.5000 0.5000 0.2737 x1
Zn: 0.0000 0.0000 0.5162 x1
Au: 0.5000 0.5000 0.7468 x1

Results
The calculation puts the energy at -30.95 eV per formula unit. Its energy of formation from the pure elements is -1.99 kcal/mol of atoms. For the volume, the calculation gives 16.40 Å³ per atom.